1.
PuTh2Mg | GGA-PBE | optimized geometry

a = 3.6406 Å, b = 5.5691 Å, c = 5.5691 Å
α = 90.00°, β = 90.00°, γ = 90.00°
Each line ends with the local moment (μB).
Atoms (fractional coordinates):
Pu 0.5000 0.5000 0.5000  5.32
Th 0.0000 0.0000 0.5000  0.16
Mg 0.5000 0.0000 0.0000  -0.01
Th 0.0000 0.5000 0.0000  0.16

**Energy above the lowest structure with this stoichiometry**: 0 meV/atom
**Uncorrected energy**: -7.61 eV/atom
**Fermi-level density of states**: 6.65 states/eV/f.u.
**Formation energy from the elements**: 80 meV per atom


2.
PuTh2Mg6 | GGA-PBE | optimized geometry

a = 9.0953 Å, b = 9.0953 Å, c = 3.1846 Å
α = 90.00°, β = 90.00°, γ = 120.00°
Atoms (fractional coordinates):
Pu 0.0000 0.0000 0.0000
Mg 0.0000 0.3271 0.5000
Mg 0.6729 0.0000 0.5000
Th 0.3333 0.6667 0.0000
Mg 0.3271 0.3271 0.5000
Mg 0.6729 0.6729 0.5000
Mg 0.0000 0.6729 0.5000
Th 0.6667 0.3333 0.0000
Mg 0.3271 0.0000 0.5000

**Uncorrected energy**: -3.99 eV/atom
**Fermi-level density of states**: 16.90 states/eV/f.u.
**Formation energy from the elements**: 314 meV per atom


3.
Pu2ThMg | GGA-PBE | optimized geometry

a = 5.3489 Å, b = 5.3489 Å, c = 5.3489 Å
α = 60.00°, β = 60.00°, γ = 60.00°
Each line ends with the local moment (μB).
Atoms (fractional coordinates):
Pu 0.2500 0.2500 0.2500  5.64
Th 0.5000 0.5000 0.5000  0.80
Mg 0.0000 0.0000 0.0000  0.00
Pu 0.7500 0.7500 0.7500  5.64

**Energy above the lowest structure with this stoichiometry**: 98 meV/atom
**Uncorrected energy**: -9.15 eV/atom
**Fermi-level density of states**: 12.98 states/eV/f.u.
**Formation energy from the elements**: 274 meV per atom


4.
PuTh2Mg | GGA-PBE | optimized geometry

a = 3.4404 Å, b = 3.4404 Å, c = 11.6746 Å
α = 81.53°, β = 81.53°, γ = 60.00°
Each line ends with the local moment (μB).
Atoms (fractional coordinates):
Mg 0.4998 0.4998 0.5005  0.00
Th 0.0830 0.0830 0.7508  0.00
Th 0.2503 0.2503 0.2491  -0.01
Pu 0.6668 0.6668 0.9996  5.38

**Energy above the lowest structure with this stoichiometry**: 85 meV/atom
**Uncorrected energy**: -7.53 eV/atom
**Fermi-level density of states**: 10.10 states/eV/f.u.
**Formation energy from the elements**: 165 meV per atom


5.
PuThMg | GGA-PBE | optimized geometry

a = 3.3828 Å, b = 3.3828 Å, c = 8.6397 Å
α = 90.00°, β = 90.00°, γ = 120.00°
Each line ends with the local moment (μB).
Atoms (fractional coordinates):
Th 0.3333 0.6667 0.6679  0.07
Mg 0.0000 0.0000 0.0040  0.00
Pu 0.6667 0.3333 0.3282  5.57

**Energy above the lowest structure with this stoichiometry**: 24 meV/atom
**Uncorrected energy**: -7.59 eV/atom
**Fermi-level density of states**: 8.69 states/eV/f.u.
**Formation energy from the elements**: 188 meV per atom


6.
Pu2ThMg | GGA-PBE | optimized geometry

a = 3.4146 Å, b = 3.4146 Å, c = 9.4622 Å
α = 90.00°, β = 90.00°, γ = 90.00°
Each line ends with the local moment (μB).
Atoms (fractional coordinates):
Pu 0.0000 0.0000 0.2524  5.37
Mg 0.5000 0.5000 0.0000  0.01
Pu 0.0000 0.0000 0.7476  5.37
Th 0.5000 0.5000 0.5000  0.01

**Energy above the lowest structure with this stoichiometry**: 13 meV/atom
**Uncorrected energy**: -9.23 eV/atom
**Fermi-level density of states**: 14.40 states/eV/f.u.
**Formation energy from the elements**: 189 meV per atom


7.
PuThMg4 | GGA-PBE | optimized geometry

a = 6.0257 Å, b = 6.0257 Å, c = 6.0257 Å
α = 60.00°, β = 60.00°, γ = 60.00°
Each line ends with the local moment (μB).
Atoms (fractional coordinates):
Mg 0.6252 0.6252 0.1245  0.00
Mg 0.6252 0.1245 0.6252  0.00
Th 0.0000 0.0000 0.0000  0.17
Pu 0.2500 0.2500 0.2500  5.54
Mg 0.6252 0.6252 0.6252  0.00
Mg 0.1245 0.6252 0.6252  0.00

**Uncorrected energy**: -4.59 eV/atom
**Fermi-level density of states**: 16.75 states/eV/f.u.
**Formation energy from the elements**: 98 meV per atom


8.
PuTh2Mg | GGA-PBE | optimized geometry

a = 5.4134 Å, b = 5.4134 Å, c = 5.4134 Å
α = 60.00°, β = 60.00°, γ = 60.00°
Each line ends with the local moment (μB).
Atoms (fractional coordinates):
Th 0.7500 0.7500 0.7500  0.31
Pu 0.5000 0.5000 0.5000  5.59
Mg 0.0000 0.0000 0.0000  -0.02
Th 0.2500 0.2500 0.2500  0.31

**Energy above the lowest structure with this stoichiometry**: 55 meV/atom
**Uncorrected energy**: -7.56 eV/atom
**Fermi-level density of states**: 14.37 states/eV/f.u.
**Formation energy from the elements**: 134 meV per atom


9.
PuTh2Mg | GGA-PBE | optimized geometry

a = 3.4592 Å, b = 3.4592 Å, c = 9.6827 Å
α = 90.00°, β = 90.00°, γ = 90.00°
Each line ends with the local moment (μB).
Atoms (fractional coordinates):
Mg 0.5000 0.5000 0.0000  -0.01
Pu 0.5000 0.5000 0.5000  5.27
Th 0.0000 0.0000 0.7468  0.00
Th 0.0000 0.0000 0.2532  0.00

**Energy above the lowest structure with this stoichiometry**: 53 meV/atom
**Uncorrected energy**: -7.56 eV/atom
**Fermi-level density of states**: 7.54 states/eV/f.u.
**Formation energy from the elements**: 132 meV per atom


10.
PuTh2Mg | GGA-PBE | optimized geometry

a = 3.3491 Å, b = 3.3491 Å, c = 12.4923 Å
α = 82.30°, β = 82.30°, γ = 60.00°
Each line ends with the local moment (μB).
Atoms (fractional coordinates):
Th 0.9122 0.9122 0.2635  0.08
Pu 0.0000 0.0000 0.0000  5.68
Mg 0.5000 0.5000 0.5000  0.00
Th 0.0878 0.0878 0.7365  0.08

**Energy above the lowest structure with this stoichiometry**: 224 meV/atom
**Uncorrected energy**: -7.39 eV/atom
**Fermi-level density of states**: 9.95 states/eV/f.u.
**Formation energy from the elements**: 304 meV per atom


11.
Pu2ThMg | GGA-PBE | optimized geometry

a = 5.0312 Å, b = 4.6441 Å, c = 4.6441 Å
α = 90.00°, β = 90.00°, γ = 90.00°
Each line ends with the local moment (μB).
Atoms (fractional coordinates):
Pu 0.0000 0.0000 0.5000  5.46
Th 0.5000 0.0000 0.0000  0.22
Mg 0.5000 0.5000 0.5000  -0.01
Pu 0.0000 0.5000 0.0000  5.46

**Energy above the lowest structure with this stoichiometry**: 0 meV/atom
**Uncorrected energy**: -9.24 eV/atom
**Fermi-level density of states**: 13.28 states/eV/f.u.
**Formation energy from the elements**: 177 meV per atom


12.
PuThMgTl | GGA-PBE | optimized geometry

a = 5.4363 Å, b = 5.4363 Å, c = 5.4363 Å
α = 60.00°, β = 60.00°, γ = 60.00°
Each line ends with the local moment (μB).
Atoms (fractional coordinates):
Tl 0.0000 0.0000 0.0000  -0.02
Th 0.2500 0.2500 0.2500  0.31
Pu 0.7500 0.7500 0.7500  5.56
Mg 0.5000 0.5000 0.5000  0.01

**Uncorrected energy**: -6.33 eV/atom
**Fermi-level density of states**: 10.00 states/eV/f.u.
**Formation energy from the elements**: 94 meV per atom


What is the formula in the fourth record?
PuTh2Mg


What is the Fermi-level density of states in the fifth record?
8.69 states/eV/f.u.


What is the Fermi-level density of states in the first record?
6.65 states/eV/f.u.


Repeat the fourth record exactly.
PuTh2Mg | GGA-PBE | optimized geometry

a = 3.4404 Å, b = 3.4404 Å, c = 11.6746 Å
α = 81.53°, β = 81.53°, γ = 60.00°
Each line ends with the local moment (μB).
Atoms (fractional coordinates):
Mg 0.4998 0.4998 0.5005  0.00
Th 0.0830 0.0830 0.7508  0.00
Th 0.2503 0.2503 0.2491  -0.01
Pu 0.6668 0.6668 0.9996  5.38

**Energy above the lowest structure with this stoichiometry**: 85 meV/atom
**Uncorrected energy**: -7.53 eV/atom
**Fermi-level density of states**: 10.10 states/eV/f.u.
**Formation energy from the elements**: 165 meV per atom